## i
Material: GaH2F
Method: DFT, PBE
State: relaxed

a = 4.677 Å, b = 4.677 Å, c = 6.808 Å
α = 90.00°, β = 90.00°, γ = 90.00°
Positions (direct):
Ga  0.000  0.000  0.000
Ga  0.000  0.500  0.250
Ga  0.500  0.000  0.750
Ga  0.500  0.500  0.500
H  0.172  0.250  0.125
H  0.250  0.672  0.375
H  0.250  0.828  0.875
H  0.328  0.250  0.625
H  0.672  0.750  0.625
H  0.750  0.172  0.875
H  0.750  0.328  0.375
H  0.828  0.750  0.125
F  0.000  0.000  0.500
F  0.000  0.500  0.750
F  0.500  0.000  0.250
F  0.500  0.500  0.000

Summary:
Spin magnetization in μB/f.u.: 0.0
SG: I-42d

=====

## ii
Material: GaH2F
Method: DFT, PBE
State: relaxed

a = 5.213 Å, b = 5.213 Å, c = 5.213 Å
α = 90.00°, β = 90.00°, γ = 90.00°
Positions (direct):
Ga  0.000  0.000  0.000
Ga  0.000  0.500  0.500
Ga  0.500  0.000  0.500
Ga  0.500  0.500  0.000
H  0.250  0.250  0.250
H  0.250  0.250  0.750
H  0.250  0.750  0.250
H  0.250  0.750  0.750
H  0.750  0.250  0.250
H  0.750  0.250  0.750
H  0.750  0.750  0.250
H  0.750  0.750  0.750
F  0.000  0.000  0.500
F  0.000  0.500  0.000
F  0.500  0.000  0.000
F  0.500  0.500  0.500

Summary:
Spin magnetization in μB/f.u.: 0.7
SG: Fm-3m

=====

It turns out i is the most stable, with the second structure 0.555 eV/atom higher.

=====

## i
Material: Ga2HF
Method: DFT, PBE
State: relaxed

a = 5.256 Å, b = 5.256 Å, c = 9.641 Å
α = 90.00°, β = 90.00°, γ = 90.00°
Positions (direct):
Ga  0.197  0.250  0.125
Ga  0.250  0.697  0.375
Ga  0.250  0.803  0.875
Ga  0.303  0.250  0.625
Ga  0.697  0.750  0.625
Ga  0.750  0.197  0.875
Ga  0.750  0.303  0.375
Ga  0.803  0.750  0.125
H  0.000  0.000  0.000
H  0.000  0.500  0.250
H  0.500  0.000  0.750
H  0.500  0.500  0.500
F  0.000  0.000  0.500
F  0.000  0.500  0.750
F  0.500  0.000  0.250
F  0.500  0.500  0.000

Summary:
Spin magnetization in μB/f.u.: 0.0
SG: I-42d

=====

## ii
Material: Ga2HF
Method: DFT, PBE
State: relaxed

a = 6.132 Å, b = 6.132 Å, c = 6.132 Å
α = 90.00°, β = 90.00°, γ = 90.00°
Positions (direct):
Ga  0.250  0.250  0.250
Ga  0.250  0.250  0.750
Ga  0.250  0.750  0.250
Ga  0.250  0.750  0.750
Ga  0.750  0.250  0.250
Ga  0.750  0.250  0.750
Ga  0.750  0.750  0.250
Ga  0.750  0.750  0.750
H  0.000  0.000  0.000
H  0.000  0.500  0.500
H  0.500  0.000  0.500
H  0.500  0.500  0.000
F  0.000  0.000  0.500
F  0.000  0.500  0.000
F  0.500  0.000  0.000
F  0.500  0.500  0.500

Summary:
Spin magnetization in μB/f.u.: 0.0
SG: Fm-3m

=====

It turns out i is the most stable, with the second structure 0.076 eV/atom higher.

=====

## i
Material: GaHF3
Method: DFT, PBE
State: relaxed

a = 6.750 Å, b = 6.750 Å, c = 7.572 Å
α = 109.45°, β = 109.45°, γ = 22.00°
Positions (direct):
Ga  0.082  0.082  0.460
Ga  0.918  0.918  0.540
H  0.359  0.359  0.037
H  0.641  0.641  0.963
F  0.139  0.139  0.953
F  0.315  0.315  0.391
F  0.424  0.424  0.732
F  0.576  0.576  0.268
F  0.685  0.685  0.609
F  0.861  0.861  0.047

Summary:
Spin magnetization in μB/f.u.: 0.0
SG: C2/m

=====

## ii
Material: GaHF3
Method: DFT, PBE
State: relaxed

a = 3.840 Å, b = 3.840 Å, c = 3.840 Å
α = 90.00°, β = 90.00°, γ = 90.00°
Positions (direct):
Ga  0.000  0.000  0.000
H  0.500  0.500  0.500
F  0.000  0.000  0.500
F  0.000  0.500  0.000
F  0.500  0.000  0.000

Summary:
Spin magnetization in μB/f.u.: 1.0
SG: Pm-3m

=====

## iii
Material: GaHF3
Method: DFT, PBE
State: relaxed

a = 3.515 Å, b = 3.515 Å, c = 3.515 Å
α = 90.00°, β = 90.00°, γ = 90.00°
Positions (direct):
Ga  0.000  0.000  0.000
H  0.500  0.500  0.500
F  0.000  0.500  0.500
F  0.500  0.000  0.500
F  0.500  0.500  0.000

Summary:
Spin magnetization in μB/f.u.: 0.0
SG: Pm-3m

=====

It turns out i is the most stable, with the second structure 0.146 eV/atom higher.

=====

## i
Material: GaHOF2
Method: DFT, PBE
State: relaxed

a = 3.819 Å, b = 3.819 Å, c = 3.851 Å
α = 90.00°, β = 90.00°, γ = 90.00°
Positions (direct):
Ga  0.000  0.000  0.000
H  0.500  0.500  0.500
O  0.000  0.000  0.500
F  0.000  0.500  0.000
F  0.500  0.000  0.000

Summary:
Spin magnetization in μB/f.u.: 0.0
SG: P4/mmm

=====

## ii
Material: GaHOF2
Method: DFT, PBE
State: relaxed

a = 3.044 Å, b = 3.044 Å, c = 4.432 Å
α = 90.00°, β = 90.00°, γ = 90.00°
Positions (direct):
Ga  0.000  0.000  0.000
H  0.500  0.500  0.500
O  0.500  0.500  0.000
F  0.000  0.500  0.500
F  0.500  0.000  0.500

Summary:
Spin magnetization in μB/f.u.: 0.0
SG: P4/mmm

=====

It turns out i is the most stable, with the second structure 0.142 eV/atom higher.

=====

## i
Material: HfGa3F
Method: DFT, PBE
State: relaxed

a = 5.354 Å, b = 5.354 Å, c = 5.354 Å
α = 90.00°, β = 90.00°, γ = 90.00°
Positions (direct):
Hf  0.000  0.000  0.000
Ga  0.000  0.000  0.500
Ga  0.000  0.500  0.000
Ga  0.500  0.000  0.000
F  0.500  0.500  0.500

Summary:
Spin magnetization in μB/f.u.: 2.4
SG: Pm-3m

=====

## ii
Material: HfGa3F
Method: DFT, PBE
State: relaxed

a = 4.405 Å, b = 4.405 Å, c = 4.405 Å
α = 90.00°, β = 90.00°, γ = 90.00°
Positions (direct):
Hf  0.000  0.000  0.000
Ga  0.000  0.500  0.500
Ga  0.500  0.000  0.500
Ga  0.500  0.500  0.000
F  0.500  0.500  0.500

Summary:
Spin magnetization in μB/f.u.: 0.0
SG: Pm-3m

=====

It turns out ii is the most stable, with the second structure 0.871 eV/atom higher.

=====

## i
Material: HfGaF3
Method: DFT, PBE
State: relaxed

a = 4.296 Å, b = 4.296 Å, c = 4.296 Å
α = 90.00°, β = 90.00°, γ = 90.00°
Positions (direct):
Hf  0.000  0.000  0.000
Ga  0.500  0.500  0.500
F  0.000  0.500  0.500
F  0.500  0.000  0.500
F  0.500  0.500  0.000

Summary:
Spin magnetization in μB/f.u.: 2.1
SG: Pm-3m

=====

## ii
Material: HfGaF3
Method: DFT, PBE
State: relaxed

a = 4.305 Å, b = 4.305 Å, c = 4.305 Å
α = 90.00°, β = 90.00°, γ = 90.00°
Positions (direct):
Hf  0.000  0.000  0.000
Ga  0.500  0.500  0.500
F  0.000  0.000  0.500
F  0.000  0.500  0.000
F  0.500  0.000  0.000

Summary:
Spin magnetization in μB/f.u.: 1.0
SG: Pm-3m

=====

It turns out ii is the most stable, with the second structure 1.100 eV/atom higher.